DFT (GGA+U) results for a relaxed Rb2MnPtF6 crystal.

Values from the calculation:
Size of the total moment ... 3.0 Bohr magnetons per cell
Raw total energy ... -48.35 eV per formula unit

POSCAR file:
```
Rb2MnPtF6
1.0
-3.093 3.093 4.355
3.093 -3.093 4.355
3.093 3.093 -4.355
Rb Mn Pt F
2 1 1 6
Direct
0.250 0.750 0.500 Rb
0.750 0.250 0.500 Rb
0.000 0.000 0.000 Mn
0.500 0.500 0.000 Pt
0.241 0.241 0.481 F
0.241 0.759 0.000 F
0.242 0.242 0.000 F
0.758 0.758 0.000 F
0.759 0.241 0.000 F
0.759 0.759 0.519 F
```